Record 1
VASP calculation (GGA-PBE) on Ac2PbSe4 after structural relaxation.

a b c (Å): 8.121 8.121 8.121
angles (deg): 109.46 109.50 109.46
Fractional positions:
1 Pb 0.750 0.500 0.250
2 Pb 0.000 0.000 0.000
3 Se 0.622 0.751 0.522
4 Se 0.478 0.101 0.229
5 Se 0.272 0.251 0.872
6 Se 0.622 0.749 0.021
7 Se 0.128 0.399 0.378
8 Se 0.771 0.249 0.872
9 Se 0.979 0.601 0.728
10 Se 0.128 0.899 0.378
11 Ac 0.875 0.115 0.490
12 Ac 0.375 0.885 0.760
13 Ac 0.510 0.385 0.625
14 Ac 0.240 0.615 0.125

- V: 412.35 Å³/cell
- Uncorrected formation energy: -1.611 eV/atom
- N(E_F): 0.0 states/eV/f.u.
- Relative energy among the computed polymorphs: 0.0 meV per atom
- Energy: -74.3 eV/cell
- Magnetic moment: 0.0 μB per formula unit


Record 2
VASP calculation (GGA-PBE) on ZrRe2Ni2 after structural relaxation.

a b c (Å): 7.469 7.469 2.661
angles (deg): 90.00 90.00 90.00
Fractional positions:
1 Ni 0.174 0.674 0.500
2 Ni 0.326 0.174 0.500
3 Ni 0.674 0.826 0.500
4 Ni 0.826 0.326 0.500
5 Zr 0.500 0.500 0.000
6 Zr 0.000 0.000 0.000
7 Re 0.378 0.878 0.000
8 Re 0.878 0.622 0.000
9 Re 0.122 0.378 0.000
10 Re 0.622 0.122 0.000

- V: 148.48 Å³/cell
- N(E_F): 5.4 states/eV/f.u.
- Relative energy among the computed polymorphs: 0.0 meV per atom
- Energy: -89.4 eV/cell
- Magnetic moment: 0.0 μB per formula unit
- Formation energy from the elements: 29 kJ/mol of formula units


Record 3
VASP calculation (GGA-PBE) on Tb2ErS4 after structural relaxation.

a b c (Å): 3.947 6.935 7.637
angles (deg): 119.46 104.97 90.00
Fractional positions:
1 S 0.122 0.812 0.245
2 S 0.363 0.729 0.725
3 S 0.878 0.188 0.755
4 S 0.637 0.271 0.275
5 Er 0.000 0.000 0.000
6 Tb 0.275 0.268 0.550
7 Tb 0.725 0.732 0.450

- V: 173.80 Å³/cell
- Uncorrected formation energy: -2.014 eV/atom
- N(E_F): 2.4 states/eV/f.u.
- Relative energy among the computed polymorphs: 49.7 meV per atom
- Energy: -44.4 eV/cell
- Magnetic moment: 0.0 μB per formula unit